First-principles (GGA-PBE) data for an optimized crystal structure of Ba2CdCu, as listed in Alexandria via LeMat-Bulk.

Unit cell a=6.836 b=6.836 c=6.836 alpha=145.52 beta=130.55 gamma=61.67
Sites, in units of the cell vectors:
Ba 0.000 0.000 0.000
Ba 0.693 0.193 0.500
Cd 0.290 0.790 0.500
Cu 0.445 0.445 0.000

Computed properties:
calculated density: 5.503 Mg/m³
calculated formation energy: -0.0443 eV per atom
size of the total moment: 0.00 μB/cell
D(E_F): 0.857 states/eV per atom
calculated volume: 33.99 A^3/atom
space-group type: Imm2, No. 44

First-principles (GGA-PBE) data for an optimized crystal structure of HoTl2F5, as listed in Alexandria via LeMat-Bulk.

Unit cell a=11.523 b=7.384 c=7.002 alpha=90.00 beta=90.00 gamma=90.00
Sites, in units of the cell vectors:
Ho 0.002 0.250 0.060
Ho 0.498 0.750 0.560
Ho 0.502 0.250 0.440
Ho 0.998 0.750 0.940
Tl 0.171 0.001 0.524
Tl 0.171 0.499 0.524
Tl 0.329 0.501 0.024
Tl 0.329 0.999 0.024
Tl 0.671 0.001 0.976
Tl 0.671 0.499 0.976
Tl 0.829 0.501 0.476
Tl 0.829 0.999 0.476
F 0.020 0.250 0.373
F 0.067 0.537 0.142
F 0.067 0.963 0.142
F 0.162 0.250 0.888
F 0.182 0.750 0.853
F 0.318 0.250 0.353
F 0.338 0.750 0.388
F 0.433 0.037 0.642
F 0.433 0.463 0.642
F 0.480 0.750 0.873
F 0.520 0.250 0.127
F 0.567 0.537 0.358
F 0.567 0.963 0.358
F 0.662 0.250 0.612
F 0.682 0.750 0.647
F 0.818 0.250 0.147
F 0.838 0.750 0.112
F 0.933 0.037 0.858
F 0.933 0.463 0.858
F 0.980 0.750 0.627

Computed properties:
calculated density: 7.455 Mg/m³
formation energy without anion corrections: -2.974 eV per atom
size of the total moment: 0.00 μB/cell
D(E_F): 0.000 states/eV per atom
calculated volume: 18.62 A^3/atom
space-group type: Pnma, No. 62

First-principles (GGA-PBE) data for an optimized crystal structure of ThGe2Rh4, as listed in Alexandria via LeMat-Bulk.

Unit cell a=17.111 b=4.181 c=6.674 alpha=90.00 beta=90.00 gamma=90.00
Sites, in units of the cell vectors:
Th 0.139 0.250 0.006
Th 0.361 0.750 0.506
Th 0.639 0.250 0.494
Th 0.861 0.750 0.994
Ge 0.035 0.750 0.267
Ge 0.211 0.250 0.539
Ge 0.289 0.750 0.039
Ge 0.465 0.250 0.767
Ge 0.535 0.750 0.233
Ge 0.711 0.250 0.961
Ge 0.789 0.750 0.461
Ge 0.965 0.250 0.733
Rh 0.032 0.750 0.872
Rh 0.070 0.250 0.478
Rh 0.183 0.750 0.321
Rh 0.202 0.750 0.742
Rh 0.298 0.250 0.242
Rh 0.317 0.250 0.821
Rh 0.430 0.750 0.978
Rh 0.468 0.250 0.372
Rh 0.532 0.750 0.628
Rh 0.570 0.250 0.022
Rh 0.683 0.750 0.179
Rh 0.702 0.750 0.758
Rh 0.798 0.250 0.258
Rh 0.817 0.250 0.679
Rh 0.930 0.750 0.522
Rh 0.968 0.250 0.128

Computed properties:
calculated density: 10.975 Mg/m³
calculated formation energy: -0.7339 eV per atom
size of the total moment: 0.00 μB/cell
D(E_F): 0.424 states/eV per atom
energy relative to the lowest polymorph listed for this composition: 0.000 eV per atom
calculated volume: 17.05 A^3/atom
space-group type: Pnma, No. 62

First-principles (GGA-PBE) data for an optimized crystal structure of BaScIN2, as listed in Alexandria via LeMat-Bulk.

Unit cell a=4.643 b=4.643 c=6.366 alpha=90.00 beta=90.00 gamma=90.00
Sites, in units of the cell vectors:
Ba 0.000 0.000 0.000
Sc 0.500 0.500 0.500
I 0.000 0.000 0.500
N 0.000 0.500 0.000
N 0.500 0.000 0.000

Computed properties:
calculated density: 4.080 Mg/m³
formation energy without anion corrections: 1.219 eV per atom
size of the total moment: 0.00 μB/cell
D(E_F): 1.357 states/eV per atom
energy relative to the lowest polymorph listed for this composition: 1.399 eV per atom
calculated volume: 27.44 A^3/atom
space-group type: P4/mmm, No. 123